# 1
Y11Al9Zn4 | PBE | optimized geometry

```
Y11Al9Zn4
1.0
3.6496 0.0000 0.0000
0.0000 11.7386 -4.9652
0.0000 0.0473 12.7454
Al Y Zn
9 11 4
direct
0.5000 0.8369 0.3688
0.5000 0.0735 0.2156
0.5000 0.2156 0.0735
0.5000 0.3688 0.8369
0.5000 0.9265 0.7844
0.5000 0.7844 0.9265
0.5000 0.6312 0.1631
0.5000 0.1631 0.6312
0.5000 0.5000 0.5000
0.0000 0.7015 0.7015
0.0000 0.6334 0.3666
0.0000 0.8375 0.1625
0.0000 0.3666 0.6334
0.0000 0.1625 0.8375
0.0000 0.0582 0.4088
0.0000 0.4088 0.0582
0.0000 0.9418 0.5912
0.0000 0.5912 0.9418
0.0000 0.0000 0.0000
0.0000 0.2985 0.2985
0.5000 0.7531 0.5513
0.5000 0.2469 0.4487
0.5000 0.4487 0.2469
0.5000 0.5513 0.7531
```

Properties
For the spin magnetization, the calculation gives 0.00 μB per atom. The calculation puts the formation energy at -0.39 eV per atom. The value obtained for the density of states at the Fermi level is 0.56 states/eV/atom.


# 2
BaReW2 | PBE | optimized geometry

```
BaReW2
1.0
2.8988 0.0092 0.0000
-1.0217 2.7128 0.0000
0.0000 0.0000 10.1131
Ba W Re
1 2 1
direct
0.0000 0.0000 0.5044
0.5000 0.5000 0.2045
0.0000 0.0000 0.9968
0.5000 0.5000 0.7943
```

Properties
For the spin magnetization, the calculation gives 0.00 μB per atom. The calculation puts the formation energy at 0.93 eV per atom. For the excess energy over the best structure of this formula in the dataset, the calculation gives 82 meV per atom. The value obtained for the density of states at the Fermi level is 0.80 states/eV/atom.


# 3
Cs2InHgH | PBE | optimized geometry

```
Cs2InHgH
1.0
-4.4369 -4.1643 -0.0964
4.1634 -4.4290 -0.2944
0.1071 -0.2289 4.9589
In Cs H Hg
1 2 1 1
direct
0.0000 0.0000 0.5000
0.5000 0.0000 0.0000
0.0000 0.5000 0.0000
0.0000 0.0000 0.0000
0.5000 0.5000 0.5000
```

Properties
For the spin magnetization, the calculation gives 0.00 μB per atom. The value obtained for the density of states at the Fermi level is 0.73 states/eV/atom. The value obtained for the total DFT energy (no corrections) is -1.618 eV/atom.


# 4
PbNCl2 | PBE | optimized geometry

```
PbNCl2
1.0
2.5341 0.0000 9.9622
-1.2670 2.1946 9.9622
-1.2670 -2.1946 9.9622
Cl N Pb
2 1 1
direct
0.1169 0.1169 0.1169
0.8831 0.8831 0.8831
0.0000 0.0000 0.0000
0.5000 0.5000 0.5000
```

Properties
For the spin magnetization, the calculation gives 0.75 μB per atom. For the excess energy over the best structure of this formula in the dataset, the calculation gives 9 meV per atom. The value obtained for the density of states at the Fermi level is 0.00 states/eV/atom.


# 5
Sn3Te3I | PBE | optimized geometry

```
Sn3Te3I
1.0
6.1485 0.0000 -0.0001
0.0001 8.9384 -5.1606
-0.0002 0.0000 10.3212
Te I Sn
6 2 6
direct
0.2500 0.2649 0.3302
0.7500 0.7351 0.6698
0.2500 0.6698 0.9347
0.7500 0.3302 0.0653
0.7500 0.9347 0.2649
0.2500 0.0653 0.7351
0.2500 0.6667 0.3333
0.7500 0.3333 0.6667
0.7500 0.6766 0.9216
0.2500 0.3234 0.0784
0.2500 0.7550 0.6766
0.2500 0.9216 0.2450
0.7500 0.0784 0.7550
0.7500 0.2450 0.3234
```

Properties
For the spin magnetization, the calculation gives 0.00 μB per atom. The value obtained for the density of states at the Fermi level is 0.21 states/eV/atom. The value obtained for the total DFT energy (no corrections) is -3.481 eV/atom.


# 6
Li4MgPb | PBE | optimized geometry

```
Li4MgPb
1.0
-2.8635 0.0096 3.8523
1.0267 -5.7495 0.7775
6.9026 -1.0970 5.1335
Li Mg Pb
8 2 2
direct
0.2500 0.6912 0.0875
0.7500 0.4656 0.5826
0.7500 0.7687 0.9140
0.2500 0.5344 0.4174
0.7500 0.3088 0.9125
0.7500 0.9567 0.5839
0.2500 0.0433 0.4161
0.2500 0.2313 0.0860
0.7500 0.8884 0.2244
0.2500 0.1116 0.7756
0.7500 0.3686 0.2630
0.2500 0.6314 0.7370
```

Properties
For the spin magnetization, the calculation gives 0.00 μB per atom. The calculation puts the formation energy at -0.22 eV per atom. For the excess energy over the best structure of this formula in the dataset, the calculation gives 0 meV per atom. The value obtained for the density of states at the Fermi level is 0.25 states/eV/atom.


# 7
Dy6SnIr | PBE | optimized geometry

```
Dy6SnIr
1.0
-6.4044 -0.2823 -2.4052
-1.2599 -2.9780 -6.0433
-3.4193 -6.7920 0.1793
Dy Ir Sn
6 1 1
direct
0.7805 0.0428 0.7570
0.4187 0.7808 0.7570
0.9567 0.5812 0.2430
0.5813 0.2192 0.2430
0.0433 0.4188 0.7570
0.2195 0.9572 0.2430
0.0000 0.0000 0.0000
0.5000 0.5000 0.5000
```

Properties
For the spin magnetization, the calculation gives 0.00 μB per atom. The calculation puts the formation energy at -0.23 eV per atom. The value obtained for the density of states at the Fermi level is 1.16 states/eV/atom.


# 8
Hf2CdBr | PBE | optimized geometry

```
Hf2CdBr
1.0
-4.1172 0.1077 -1.1784
-0.2074 -4.2658 0.3348
-5.0142 -1.1516 9.6270
Hf Br Cd
4 2 2
direct
0.6283 0.1250 0.2500
0.8750 0.8783 0.7500
0.3750 0.3717 0.7500
0.1217 0.6250 0.2500
0.2500 0.7500 0.5000
0.5000 0.5000 0.0000
0.0000 0.0000 0.0000
0.7500 0.2500 0.5000
```

Properties
For the spin magnetization, the calculation gives 0.00 μB per atom. For the excess energy over the best structure of this formula in the dataset, the calculation gives 158 meV per atom. The value obtained for the density of states at the Fermi level is 1.04 states/eV/atom.


# 9
Tb7Cd3 | PBE | optimized geometry

```
Tb7Cd3
1.0
-0.2694 -3.3766 -5.8986
-6.3008 -6.7064 4.1268
-3.6603 8.2267 -4.5421
Cd Tb
6 14
direct
0.3646 0.4104 0.2052
0.3646 0.7948 0.5896
0.8646 0.5896 0.7948
0.8646 0.2052 0.7948
0.3646 0.7948 0.2052
0.8646 0.2052 0.4104
0.9248 0.8749 0.1251
0.6642 0.9389 0.4694
0.1642 0.4694 0.5306
0.1642 0.4694 0.9389
0.6642 0.5306 0.0611
0.4248 0.1251 0.8749
0.4248 0.7497 0.8749
0.1642 0.0611 0.5306
0.9248 0.2503 0.1251
0.4248 0.1251 0.2503
0.9248 0.8749 0.7497
0.5475 0.3333 0.6667
0.6642 0.5306 0.4694
0.0475 0.6667 0.3333
```

Properties
For the spin magnetization, the calculation gives 0.00 μB per atom. The calculation puts the formation energy at -0.09 eV per atom. The value obtained for the density of states at the Fermi level is 1.44 states/eV/atom.


# 10
MgZn2Hg2 | PBE | optimized geometry

```
MgZn2Hg2
1.0
4.2366 0.0000 0.0000
0.0000 4.2366 0.0000
2.1183 2.1183 6.1353
Hg Zn Mg
2 2 1
direct
0.7500 0.2500 0.5000
0.2500 0.7500 0.5000
0.5975 0.5975 0.8050
0.4025 0.4025 0.1950
0.0000 0.0000 0.0000
```

Properties
For the spin magnetization, the calculation gives 0.00 μB per atom. The calculation puts the formation energy at 0.11 eV per atom. For the excess energy over the best structure of this formula in the dataset, the calculation gives 88 meV per atom. The value obtained for the density of states at the Fermi level is 0.40 states/eV/atom.


# 11
Cu2TcBr | PBE | optimized geometry

```
Cu2TcBr
1.0
4.6603 0.0070 0.0520
3.7520 2.7643 0.0520
0.8446 0.2782 4.7307
Cu Tc Br
2 1 1
direct
0.7581 0.7581 0.7803
0.0124 0.0124 0.9481
0.4938 0.4938 0.4680
0.2357 0.2357 0.3035
```

Properties
For the spin magnetization, the calculation gives 0.00 μB per atom. For the excess energy over the best structure of this formula in the dataset, the calculation gives 148 meV per atom. The value obtained for the density of states at the Fermi level is 0.67 states/eV/atom.


# 12
GdSiPt2 | PBE | optimized geometry

```
GdSiPt2
1.0
-1.1084 -2.8940 4.6375
4.3315 -5.0368 -2.1079
5.6104 3.3807 3.4507
Pt Si Gd
8 4 4
direct
0.0915 0.4489 0.8206
0.9085 0.9489 0.1794
0.4085 0.4489 0.3206
0.5915 0.5511 0.6794
0.4085 0.0511 0.3206
0.5915 0.9489 0.6794
0.0915 0.0511 0.8206
0.9085 0.5511 0.1794
0.6374 0.7500 0.3781
0.8626 0.7500 0.8781
0.1374 0.2500 0.1219
0.3626 0.2500 0.6219
0.6360 0.2500 0.9738
0.8640 0.2500 0.4738
0.3640 0.7500 0.0262
0.1360 0.7500 0.5262
```

Properties
For the spin magnetization, the calculation gives 1.77 μB per atom. The value obtained for the density of states at the Fermi level is 0.45 states/eV/atom. The value obtained for the total DFT energy (no corrections) is -9.044 eV/atom.


# 13
La6Cu2C | PBE | optimized geometry

```
La6Cu2C
1.0
-5.8800 -2.8696 1.6331
0.9601 -5.0186 -5.3616
4.9109 -6.1879 6.6715
La Cu C
12 4 2
direct
0.6717 0.1974 0.0549
0.8283 0.6974 0.4451
0.3743 0.5309 0.2366
0.1257 0.0309 0.2634
0.1844 0.3236 0.9399
0.1717 0.3026 0.5549
0.8743 0.9691 0.7366
0.3283 0.8026 0.9451
0.3156 0.8236 0.5601
0.6844 0.1764 0.4399
0.6257 0.4691 0.7634
0.8156 0.6764 0.0601
0.9426 0.4017 0.2536
0.4426 0.0983 0.7536
0.0574 0.5983 0.7464
0.5574 0.9017 0.2464
0.0000 0.0000 0.5000
0.5000 0.5000 0.0000
```

Properties
For the spin magnetization, the calculation gives 0.00 μB per atom. The calculation puts the formation energy at -0.10 eV per atom. The value obtained for the density of states at the Fermi level is 1.10 states/eV/atom.


# 14
K2RbHgO2 | PBE | optimized geometry

```
K2RbHgO2
1.0
-3.2814 1.4522 2.4285
-4.0730 -2.2421 -4.1627
-0.2681 -10.5288 5.9334
K O Hg Rb
4 4 2 2
direct
0.0000 0.4133 0.7303
0.5000 0.0867 0.2303
0.0000 0.5867 0.2697
0.5000 0.9133 0.7697
0.0000 0.2449 0.1265
0.0000 0.7551 0.8735
0.5000 0.2551 0.6265
0.5000 0.7449 0.3735
0.0000 0.0000 0.0000
0.5000 0.5000 0.5000
0.5000 0.5000 0.0000
0.0000 0.0000 0.5000
```

Properties
For the spin magnetization, the calculation gives 0.00 μB per atom. The value obtained for the density of states at the Fermi level is 0.33 states/eV/atom. The value obtained for the total DFT energy (no corrections) is -3.071 eV/atom.


# 15
Y2FeRh | PBE | optimized geometry

```
Y2FeRh
1.0
-2.3177 -2.3671 0.0134
2.3670 -2.3169 0.0673
-0.0934 0.1367 7.9910
Y Fe Rh
2 1 1
direct
0.0000 0.0000 0.9295
0.5000 0.5000 0.3127
0.0000 0.0000 0.5500
0.5000 0.5000 0.7078
```

Properties
For the spin magnetization, the calculation gives 0.83 μB per atom. The calculation puts the formation energy at -0.10 eV per atom. The value obtained for the density of states at the Fermi level is 1.11 states/eV/atom.


# 16
TaHW3 | PBE | optimized geometry

```
TaHW3
1.0
4.1156 0.0000 0.0000
0.0000 4.1156 0.0000
0.0000 0.0000 4.1156
W Ta H
3 1 1
direct
0.5000 0.0000 0.0000
0.0000 0.5000 0.0000
0.0000 0.0000 0.5000
0.5000 0.5000 0.5000
0.0000 0.0000 0.0000
```

Properties
For the spin magnetization, the calculation gives 0.00 μB per atom. For the excess energy over the best structure of this formula in the dataset, the calculation gives 0 meV per atom. The value obtained for the density of states at the Fermi level is 0.77 states/eV/atom.


# 17
CrNi2H | PBE | optimized geometry

```
CrNi2H
1.0
-4.9759 1.3928 -2.4895
-2.1864 -5.0771 1.5297
-4.3332 -0.9080 1.5458
Ni H Cr
4 2 2
direct
0.8750 0.7691 0.7500
0.2309 0.6250 0.2500
0.5191 0.1250 0.2500
0.3750 0.4809 0.7500
0.2500 0.7500 0.5000
0.5000 0.5000 0.0000
0.7500 0.2500 0.5000
0.0000 0.0000 0.0000
```

Properties
For the spin magnetization, the calculation gives 0.76 μB per atom. For the excess energy over the best structure of this formula in the dataset, the calculation gives 201 meV per atom. The value obtained for the density of states at the Fermi level is 0.37 states/eV/atom.


# 18
GdVSi2 | PBE | optimized geometry

```
GdVSi2
1.0
4.1257 0.0000 0.0000
2.0628 3.5729 0.0000
2.0628 1.1910 5.0305
Si V Gd
2 1 1
direct
0.2822 0.2822 0.1533
0.7178 0.7178 0.8467
0.0000 0.0000 0.0000
0.5000 0.5000 0.5000
```

Properties
For the spin magnetization, the calculation gives 1.44 μB per atom. The value obtained for the density of states at the Fermi level is 0.81 states/eV/atom. The value obtained for the total DFT energy (no corrections) is -8.911 eV/atom.


# 19
ErNiP | PBE | optimized geometry

```
ErNiP
1.0
2.8494 2.1638 1.5103
-3.4811 1.5786 -0.6870
-4.5195 -3.8530 14.0468
Er P Ni
4 4 4
direct
0.0000 0.0000 0.0000
0.0000 0.0000 0.7500
0.0000 0.0000 0.5000
0.0000 0.0000 0.2500
0.6667 0.3333 0.3775
0.3333 0.6667 0.6225
0.3333 0.6667 0.8775
0.6667 0.3333 0.1225
0.6667 0.3333 0.8712
0.3333 0.6667 0.1288
0.3333 0.6667 0.3712
0.6667 0.3333 0.6288
```

Properties
For the spin magnetization, the calculation gives 0.00 μB per atom. The calculation puts the formation energy at -1.22 eV per atom. The value obtained for the density of states at the Fermi level is 0.48 states/eV/atom.


# 20
NaLa2Gd | PBE | optimized geometry

```
NaLa2Gd
1.0
3.6019 0.0000 0.0000
0.0000 3.6019 0.0000
0.0000 0.0000 11.0672
La Na Gd
2 1 1
direct
0.0000 0.0000 0.2313
0.0000 0.0000 0.7687
0.5000 0.5000 0.5000
0.5000 0.5000 0.0000
```

Properties
For the spin magnetization, the calculation gives 1.85 μB per atom. The calculation puts the formation energy at 0.09 eV per atom. For the excess energy over the best structure of this formula in the dataset, the calculation gives 25 meV per atom. The value obtained for the density of states at the Fermi level is 1.15 states/eV/atom.